1.
## BaHg (GGA-PBE)

Data for a geometry-optimized BaHg structure.

abc: 4.4676 12.7417 5.5153
angles: 90.00 90.00 90.00
Closest atoms and distances in Å follow each position.
Space group Cmcm (No. 63)
Unique sites:
Ba: 0.0000 0.1359 0.2500 (multiplicity 4)  7 Hg 3.56-3.62
Hg: 0.0000 0.4183 0.2500 (multiplicity 4)  2 Hg 3.46, 7 Ba 3.56-3.62

Properties
For the magnetic moment, the calculation gives 0.00 Bohr magnetons per cell. The value obtained for the volume is 314.0 Å³ per cell. Its total energy is -1.603 eV/atom. For the formation energy, the calculation gives -0.981 eV per formula unit.

=====

2.
## Ba2Hg (GGA-PBE)

Data for a geometry-optimized Ba2Hg structure.

abc: 10.4723 10.4723 10.4723
angles: 90.00 90.00 90.00
Closest atoms and distances in Å follow each position.
Space group Fd-3m (No. 227, origin choice 2)
Unique sites:
Ba: 0.0000 0.0000 0.0000 (multiplicity 16)  6 Ba 3.70
Hg: 0.1250 0.1250 0.6250 (multiplicity 8)  12 Ba 4.34, 4 Hg 4.53

Properties
For the magnetic moment, the calculation gives 0.02 Bohr magnetons per cell. The value obtained for the volume is 1148.5 Å³ per cell. Its total energy is -1.106 eV/atom. For the formation energy, the calculation gives 0.828 eV per formula unit.

=====

3.
## BaHg3 (GGA-PBE)

Data for a geometry-optimized BaHg3 structure.

abc: 6.9500 6.9500 6.9500
angles: 90.00 90.00 90.00
Closest atoms and distances in Å follow each position.
Space group Pm-3m (No. 221)
Unique sites:
Ba: 0.0000 0.0000 0.0000 (multiplicity 1)  6 Hg 3.47
Hg: 0.0000 0.0000 0.5000 (multiplicity 3)  2 Ba 3.47

Properties
For the magnetic moment, the calculation gives 0.00 Bohr magnetons per cell. The value obtained for the volume is 335.7 Å³ per cell. Its total energy is -0.537 eV/atom. For the formation energy, the calculation gives 0.678 eV per formula unit.

=====

4.
## Ba5Hg6 (GGA-PBE)

Data for a geometry-optimized Ba5Hg6 structure.

abc: 5.8390 8.5955 17.5092
angles: 90.00 90.00 90.00
Closest atoms and distances in Å follow each position.
Space group Immm (No. 71)
Unique sites:
Ba: 0.0000 0.0000 0.0000 (multiplicity 2)  8 Hg 3.46-3.63
Ba: 0.0000 0.0000 0.3545 (multiplicity 4)  8 Hg 3.53-3.76
Ba: 0.0000 0.5000 0.3259 (multiplicity 4)  8 Hg 3.52-3.57
Hg: 0.0000 0.2333 0.1732 (multiplicity 8)  7 Ba 3.52-3.76
Hg: 0.0000 0.2842 0.5000 (multiplicity 4)  6 Ba 3.46-3.57, 1 Hg 3.71

Properties
For the magnetic moment, the calculation gives 0.00 Bohr magnetons per cell. The value obtained for the volume is 878.8 Å³ per cell. Its total energy is -1.463 eV/atom. For the formation energy, the calculation gives -4.674 eV per formula unit.

=====

5.
## Ba2Hg (GGA-PBE)

Data for a geometry-optimized Ba2Hg structure.

abc: 4.4377 15.5979 8.2629
angles: 90.00 90.00 90.00
Closest atoms and distances in Å follow each position.
Space group Cmc2_1 (No. 36)
Unique sites:
Ba: 0.0000 0.0255 0.0000 (multiplicity 4)  4 Hg 3.50-3.59
Ba: 0.0000 0.2839 0.1648 (multiplicity 4)  3 Hg 3.54-3.59
Hg: 0.0000 0.3860 0.7821 (multiplicity 4)  7 Ba 3.50-3.59

Properties
For the magnetic moment, the calculation gives 0.00 Bohr magnetons per cell. The value obtained for the volume is 571.9 Å³ per cell. Its total energy is -1.728 eV/atom. For the formation energy, the calculation gives -1.038 eV per formula unit.

=====

6.
## Ba7Hg31 (GGA-PBE)

Data for a geometry-optimized Ba7Hg31 structure.

abc: 11.1382 11.1382 10.4057
angles: 90.00 90.00 120.00
Closest atoms and distances in Å follow each position.
Space group P-6m2 (No. 187)
Unique sites:
Ba: 0.0000 0.0000 0.0000 (multiplicity 1)  14 Hg 3.67-3.92
Ba: 0.1661 0.3322 0.5000 (multiplicity 3)  10 Hg 3.48-3.71
Ba: 0.3333 0.6667 0.0000 (multiplicity 1)  8 Hg 3.56-3.64
Ba: 0.6667 0.3333 0.2089 (multiplicity 2)  15 Hg 3.58-3.71
Hg: 0.0000 0.0000 0.3524 (multiplicity 2)  4 Hg 2.95-3.07
Hg: 0.0232 0.5116 0.3072 (multiplicity 6)  1 Hg 3.02
Hg: 0.1719 0.3437 0.1656 (multiplicity 6)  7 Hg 3.09-3.45
Hg: 0.2906 0.1453 0.2634 (multiplicity 6)  6 Hg 2.95-3.30
Hg: 0.3333 0.6667 0.3495 (multiplicity 2)  4 Hg 3.02-3.13
Hg: 0.3979 0.0617 0.0000 (multiplicity 6)  6 Hg 2.96-3.30
Hg: 0.4692 0.2346 0.5000 (multiplicity 3)  4 Hg 3.01-3.30

Properties
For the magnetic moment, the calculation gives 0.00 Bohr magnetons per cell. The value obtained for the volume is 1118.0 Å³ per cell. Its total energy is -0.937 eV/atom. For the formation energy, the calculation gives -12.804 eV per formula unit.

=====

7.
## Ba2Hg (GGA-PBE)

Data for a geometry-optimized Ba2Hg structure.

abc: 8.4516 5.8167 10.8061
angles: 90.00 90.00 90.00
Closest atoms and distances in Å follow each position.
Space group Pnma (No. 62)
Unique sites:
Ba: 0.0172 0.2500 0.1764 (multiplicity 4)  3 Hg 3.58-3.70
Ba: 0.1501 0.2500 0.5759 (multiplicity 4)  4 Hg 3.50-3.64
Hg: 0.2378 0.2500 0.8936 (multiplicity 4)  7 Ba 3.50-3.70

Properties
For the magnetic moment, the calculation gives 0.00 Bohr magnetons per cell. The value obtained for the volume is 531.2 Å³ per cell. Its total energy is -1.724 eV/atom. For the formation energy, the calculation gives -1.024 eV per formula unit.

=====

8.
## Ba2Hg13 (GGA-PBE)

Data for a geometry-optimized Ba2Hg13 structure.

abc: 8.5855 8.5855 22.0923
angles: 90.00 90.00 120.00
Closest atoms and distances in Å follow each position.
Space group R-3m (No. 166, hexagonal axes)
Unique sites:
Ba: 0.0000 0.0000 0.1543 (multiplicity 6)  7 Hg 3.41-3.47
Hg: 0.0000 0.0000 0.0000 (multiplicity 3)  6 Hg 3.22, 2 Ba 3.41
Hg: 0.0765 0.5382 0.3811 (multiplicity 18)  6 Hg 3.18-3.31, 1 Ba 3.47
Hg: 0.0962 0.5481 0.2373 (multiplicity 18)  5 Hg 3.05-3.30

Properties
For the magnetic moment, the calculation gives 0.00 Bohr magnetons per cell. The value obtained for the volume is 1410.3 Å³ per cell. Its total energy is -0.714 eV/atom. For the formation energy, the calculation gives -2.943 eV per formula unit.

=====

9.
## Ba5Hg3 (GGA-PBE)

Data for a geometry-optimized Ba5Hg3 structure.

abc: 9.5930 11.8111 5.8642
angles: 90.00 90.00 90.00
Closest atoms and distances in Å follow each position.
Space group Cmmm (No. 65)
Unique sites:
Ba: 0.0000 0.0000 0.0000 (multiplicity 2)  4 Hg 3.77, 8 Ba 3.80-4.10
Ba: 0.2017 0.5000 0.5000 (multiplicity 4)  4 Hg 3.51-3.72, 1 Ba 3.87
Ba: 0.2500 0.2500 0.0000 (multiplicity 4)  6 Hg 3.80-3.83, 6 Ba 3.80-4.19
Hg: 0.0000 0.2006 0.5000 (multiplicity 4)  10 Ba 3.72-4.03
Hg: 0.0000 0.5000 0.0000 (multiplicity 2)  8 Ba 3.51-3.80

Properties
For the magnetic moment, the calculation gives 0.00 Bohr magnetons per cell. The value obtained for the volume is 664.4 Å³ per cell. Its total energy is -1.628 eV/atom. For the formation energy, the calculation gives -2.502 eV per formula unit.

=====

10.
## BaHg2 (GGA-PBE)

Data for a geometry-optimized BaHg2 structure.

abc: 4.7180 4.7180 18.8737
angles: 90.00 90.00 90.00
Closest atoms and distances in Å follow each position.
Space group I4_1/amd (No. 141, origin choice 2)
Unique sites:
Ba: 0.0000 0.2500 0.3750 (multiplicity 4)  12 Hg 3.66-3.98
Hg: 0.0000 0.2500 0.7948 (multiplicity 8)  3 Hg 2.90-3.03

Properties
For the magnetic moment, the calculation gives 0.00 Bohr magnetons per cell. The value obtained for the volume is 420.1 Å³ per cell. Its total energy is -1.309 eV/atom. For the formation energy, the calculation gives -1.400 eV per formula unit.

=====

11.
## BaHg2 (GGA-PBE)

Data for a geometry-optimized BaHg2 structure.

abc: 4.2931 4.2931 10.7354
angles: 90.00 90.00 90.00
Closest atoms and distances in Å follow each position.
Space group I4/mmm (No. 139)
Unique sites:
Ba: 0.0000 0.0000 0.0000 (multiplicity 2)  10 Hg 3.49-3.57
Hg: 0.0000 0.0000 0.3256 (multiplicity 4)  5 Hg 3.44-3.75, 5 Ba 3.49-3.57

Properties
For the magnetic moment, the calculation gives 0.00 Bohr magnetons per cell. The value obtained for the volume is 197.9 Å³ per cell. Its total energy is -1.308 eV/atom. For the formation energy, the calculation gives -1.399 eV per formula unit.

=====

12.
## Ba2Hg (GGA-PBE)

Data for a geometry-optimized Ba2Hg structure.

abc: 8.3506 8.3506 8.3506
angles: 90.00 90.00 90.00
Closest atoms and distances in Å follow each position.
Space group Fm-3m (No. 225)
Unique sites:
Ba: 0.2500 0.2500 0.2500 (multiplicity 8)  4 Hg 3.62
Hg: 0.0000 0.0000 0.0000 (multiplicity 4)  8 Ba 3.62

Properties
For the magnetic moment, the calculation gives 0.00 Bohr magnetons per cell. The value obtained for the volume is 582.3 Å³ per cell. Its total energy is -1.653 eV/atom. For the formation energy, the calculation gives -0.811 eV per formula unit.